1.
Entry from Alexandria via LeMat-Bulk: an optimized crystal structure of Li2RuF (PBE-GGA).

Output
The excess energy over the best structure of this formula in the dataset is 0.122 eV/atom.

```
data_Li2RuF
_chemical_formula_sum 'Li2 Ru1 F1'
_cell_length_a 2.574
_cell_length_b 2.516
_cell_length_c 7.128
_cell_angle_alpha 90.00
_cell_angle_beta 100.33
_cell_angle_gamma 90.00
_symmetry_space_group_name_H-M 'P 1'
_symmetry_Int_Tables_number 1
loop_
_symmetry_equiv_pos_as_xyz
'x,y,z'
loop_
_atom_site_label
_atom_site_fract_x
_atom_site_fract_y
_atom_site_fract_z
_atom_site_occupancy
Li1 0.000 0.000 0.000 1
Li2 0.325 0.000 0.649 1
Ru1 0.674 0.500 0.343 1
F1 0.431 0.500 0.860 1
```

---

2.
Entry from Alexandria via LeMat-Bulk: an optimized crystal structure of Sm7AsSe5 (PBE-GGA).

Output
The calculation puts the total energy at -5.847 eV/atom.

```
data_Sm7AsSe5
_chemical_formula_sum 'Sm14 As2 Se10'
_cell_length_a 7.106
_cell_length_b 7.106
_cell_length_c 24.778
_cell_angle_alpha 91.46
_cell_angle_beta 91.46
_cell_angle_gamma 33.53
_symmetry_space_group_name_H-M 'P 1'
_symmetry_Int_Tables_number 1
loop_
_symmetry_equiv_pos_as_xyz
'x,y,z'
loop_
_atom_site_label
_atom_site_fract_x
_atom_site_fract_y
_atom_site_fract_z
_atom_site_occupancy
Sm1 0.000 0.000 0.000 1
Sm2 0.007 0.007 0.576 1
Sm3 0.106 0.106 0.286 1
Sm4 0.177 0.177 0.790 1
Sm5 0.276 0.276 0.500 1
Sm6 0.284 0.284 0.076 1
Sm7 0.437 0.437 0.856 1
Sm8 0.451 0.451 0.718 1
Sm9 0.546 0.546 0.420 1
Sm10 0.564 0.564 0.148 1
Sm11 0.720 0.720 0.928 1
Sm12 0.738 0.738 0.656 1
Sm13 0.832 0.832 0.358 1
Sm14 0.847 0.847 0.220 1
As1 0.452 0.452 0.302 1
As2 0.831 0.831 0.775 1
Se1 0.079 0.079 0.893 1
Se2 0.094 0.094 0.683 1
Se3 0.189 0.189 0.393 1
Se4 0.206 0.206 0.183 1
Se5 0.361 0.361 0.965 1
Se6 0.366 0.366 0.610 1
Se7 0.642 0.642 0.038 1
Se8 0.642 0.642 0.538 1
Se9 0.917 0.917 0.467 1
Se10 0.924 0.924 0.111 1
```

---

3.
Entry from Alexandria via LeMat-Bulk: an optimized crystal structure of TmRu3 (PBE-GGA).

Output
The energy relative to the elements is 86.1 meV/atom.

```
data_TmRu3
_chemical_formula_sum 'Tm1 Ru3'
_cell_length_a 4.017
_cell_length_b 4.017
_cell_length_c 4.017
_cell_angle_alpha 90.00
_cell_angle_beta 90.00
_cell_angle_gamma 90.00
_symmetry_space_group_name_H-M 'P 1'
_symmetry_Int_Tables_number 1
loop_
_symmetry_equiv_pos_as_xyz
'x,y,z'
loop_
_atom_site_label
_atom_site_fract_x
_atom_site_fract_y
_atom_site_fract_z
_atom_site_occupancy
Tm1 0.000 0.000 0.000 1
Ru1 0.000 0.500 0.500 1
Ru2 0.500 0.000 0.500 1
Ru3 0.500 0.500 0.000 1
```

---

4.
Entry from Alexandria via LeMat-Bulk: an optimized crystal structure of In9GaPb2 (PBE-GGA).

Output
The energy relative to the elements is 28.9 meV/atom.

```
data_In9GaPb2
_chemical_formula_sum 'In9 Ga1 Pb2'
_cell_length_a 6.106
_cell_length_b 7.106
_cell_length_c 8.161
_cell_angle_alpha 106.82
_cell_angle_beta 91.38
_cell_angle_gamma 102.72
_symmetry_space_group_name_H-M 'P 1'
_symmetry_Int_Tables_number 1
loop_
_symmetry_equiv_pos_as_xyz
'x,y,z'
loop_
_atom_site_label
_atom_site_fract_x
_atom_site_fract_y
_atom_site_fract_z
_atom_site_occupancy
In1 0.000 0.000 0.000 1
In2 0.103 0.745 0.579 1
In3 0.160 0.499 0.181 1
In4 0.252 0.240 0.735 1
In5 0.325 0.016 0.338 1
In6 0.675 0.984 0.662 1
In7 0.748 0.760 0.265 1
In8 0.840 0.501 0.819 1
In9 0.897 0.255 0.421 1
Ga1 0.500 0.500 0.500 1
Pb1 0.417 0.737 0.919 1
Pb2 0.583 0.263 0.081 1
```

---

5.
Entry from Alexandria via LeMat-Bulk: an optimized crystal structure of LaMgCr (PBE-GGA).

Output
The energy relative to the elements is 495.7 meV/atom. The excess energy over the best structure of this formula in the dataset is 0.164 eV/atom.

```
data_LaMgCr
_chemical_formula_sum 'La1 Mg1 Cr1'
_cell_length_a 4.945
_cell_length_b 4.945
_cell_length_c 4.945
_cell_angle_alpha 60.00
_cell_angle_beta 60.00
_cell_angle_gamma 60.00
_symmetry_space_group_name_H-M 'P 1'
_symmetry_Int_Tables_number 1
loop_
_symmetry_equiv_pos_as_xyz
'x,y,z'
loop_
_atom_site_label
_atom_site_fract_x
_atom_site_fract_y
_atom_site_fract_z
_atom_site_occupancy
La1 0.000 0.000 0.000 1
Mg1 0.500 0.500 0.500 1
Cr1 0.750 0.750 0.750 1
```

---

6.
Entry from Alexandria via LeMat-Bulk: an optimized crystal structure of Tb3PrY2 (PBE-GGA).

Output
The energy relative to the elements is -3.4 meV/atom. The excess energy over the best structure of this formula in the dataset is 0.000 eV/atom.

```
data_Tb3PrY2
_chemical_formula_sum 'Tb6 Pr2 Y4'
_cell_length_a 7.226
_cell_length_b 7.233
_cell_length_c 8.922
_cell_angle_alpha 78.22
_cell_angle_beta 78.30
_cell_angle_gamma 60.12
_symmetry_space_group_name_H-M 'P 1'
_symmetry_Int_Tables_number 1
loop_
_symmetry_equiv_pos_as_xyz
'x,y,z'
loop_
_atom_site_label
_atom_site_fract_x
_atom_site_fract_y
_atom_site_fract_z
_atom_site_occupancy
Tb1 0.139 0.138 0.165 1
Tb2 0.250 0.751 0.500 1
Tb3 0.360 0.862 0.835 1
Tb4 0.640 0.138 0.165 1
Tb5 0.750 0.249 0.500 1
Tb6 0.861 0.862 0.835 1
Pr1 0.251 0.249 0.499 1
Pr2 0.749 0.751 0.501 1
Y1 0.139 0.640 0.164 1
Y2 0.361 0.361 0.835 1
Y3 0.639 0.639 0.165 1
Y4 0.861 0.360 0.836 1
```